Sm3Se3N | GGA-PBE | optimized geometry

For the uncorrected formation energy, the calculation gives -12.31 eV/f.u. Its space group is C2/m, No. 12.

```
data_Sm3Se3N
_chemical_formula_sum 'Sm6 Se6 N2'
_cell_length_a 7.377
_cell_length_b 7.377
_cell_length_c 7.254
_cell_angle_alpha 96.45
_cell_angle_beta 96.45
_cell_angle_gamma 113.00
_space_group_name_H-M_alt 'P 1'
_space_group_IT_number 1
_space_group_name_Hall 'P 1'
loop_
_atom_site_label
_atom_site_type_symbol
_atom_site_fract_x
_atom_site_fract_y
_atom_site_fract_z
Se1 Se 0.253 0.747 0.000
Sm1 Sm 0.545 0.838 0.723
Sm2 Sm 0.098 0.098 0.817
Se2 Se 0.386 0.386 0.646
N1 N 0.823 0.823 0.860
Se3 Se 0.747 0.253 0.000
Sm3 Sm 0.162 0.455 0.277
Sm4 Sm 0.838 0.545 0.723
Sm5 Sm 0.902 0.902 0.183
N2 N 0.177 0.177 0.140
Se4 Se 0.614 0.614 0.354
Se5 Se 0.834 0.166 0.500
Sm6 Sm 0.455 0.162 0.277
Se6 Se 0.166 0.834 0.500
```